Record 1
# PBE HoNiIr, relaxed
# - DFT formation energy (eV per atom) = -0.69
# - M_tot (μB/f.u.) = 0.0
# - symmetry = Imma
# - uncorrected energy (eV per formula unit) = -21.3
data_HoNiIr
_cell_length_a 5.200
_cell_length_b 5.200
_cell_length_c 5.200
_cell_angle_alpha 90.48
_cell_angle_beta 117.59
_cell_angle_gamma 121.91
_space_group_name_H-M_alt 'P 1'
_space_group_IT_number 1
loop_
_space_group_symop_operation_xyz
'x,y,z'
loop_
_atom_site_label
_atom_site_fract_x
_atom_site_fract_y
_atom_site_fract_z
Ho1 0.250 0.122 0.872
Ho2 0.750 0.878 0.128
Ir1 0.500 0.500 0.500
Ir2 0.000 0.500 0.000
Ni1 0.500 0.000 0.500
Ni2 0.000 0.500 0.500

Record 2
# PBE LiTb2Sm, relaxed
# - DFT formation energy (eV per atom) = 0.07
# - M_tot (μB/f.u.) = 0.0
# - symmetry = P4/mmm
# - uncorrected energy (eV per formula unit) = -15.6
data_LiTb2Sm
_cell_length_a 3.653
_cell_length_b 3.653
_cell_length_c 8.803
_cell_angle_alpha 90.00
_cell_angle_beta 90.00
_cell_angle_gamma 90.00
_space_group_name_H-M_alt 'P 1'
_space_group_IT_number 1
loop_
_space_group_symop_operation_xyz
'x,y,z'
loop_
_atom_site_label
_atom_site_fract_x
_atom_site_fract_y
_atom_site_fract_z
Li1 0.500 0.500 0.000
Tb1 0.000 0.000 0.218
Tb2 0.000 0.000 0.782
Sm1 0.500 0.500 0.500

Record 3
# PBE K2Pa2WN6, relaxed
# - M_tot (μB/f.u.) = 0.0
# - symmetry = C2/m
# - uncorrected energy (eV per formula unit) = -94.3
# - energy relative to the elements, uncorrected (meV/atom) = -930
data_K2Pa2WN6
_cell_length_a 5.873
_cell_length_b 5.873
_cell_length_c 6.757
_cell_angle_alpha 97.28
_cell_angle_beta 97.28
_cell_angle_gamma 119.45
_space_group_name_H-M_alt 'P 1'
_space_group_IT_number 1
loop_
_space_group_symop_operation_xyz
'x,y,z'
loop_
_atom_site_label
_atom_site_fract_x
_atom_site_fract_y
_atom_site_fract_z
N1 0.645 0.958 0.344
N2 0.042 0.355 0.656
N3 0.958 0.645 0.344
N4 0.255 0.255 0.341
N5 0.355 0.042 0.656
N6 0.745 0.745 0.659
Pa1 0.666 0.334 0.500
Pa2 0.334 0.666 0.500
K1 0.159 0.841 0.000
K2 0.841 0.159 0.000
W1 0.000 0.000 0.500

Record 4
# PBE PmGdAu, relaxed
# - DFT formation energy (eV per atom) = -0.41
# - M_tot (μB/f.u.) = 7.7
# - symmetry = F-43m
# - uncorrected energy (eV per formula unit) = -23.3
data_PmGdAu
_cell_length_a 5.059
_cell_length_b 5.059
_cell_length_c 5.059
_cell_angle_alpha 60.00
_cell_angle_beta 60.00
_cell_angle_gamma 60.00
_space_group_name_H-M_alt 'P 1'
_space_group_IT_number 1
loop_
_space_group_symop_operation_xyz
'x,y,z'
loop_
_atom_site_label
_atom_site_fract_x
_atom_site_fract_y
_atom_site_fract_z
Au1 0.250 0.250 0.250
Gd1 0.000 0.000 0.000
Pm1 0.500 0.500 0.500

Record 5
# PBE CeGa4Ge, relaxed
# - DFT formation energy (eV per atom) = -0.16
# - M_tot (μB/f.u.) = 1.1
# - symmetry = F-43m
# - uncorrected energy (eV per formula unit) = -23.6
data_CeGa4Ge
_cell_length_a 5.538
_cell_length_b 5.538
_cell_length_c 5.538
_cell_angle_alpha 60.00
_cell_angle_beta 60.00
_cell_angle_gamma 60.00
_space_group_name_H-M_alt 'P 1'
_space_group_IT_number 1
loop_
_space_group_symop_operation_xyz
'x,y,z'
loop_
_atom_site_label
_atom_site_fract_x
_atom_site_fract_y
_atom_site_fract_z
Ge1 0.000 0.000 0.000
Ga1 0.626 0.626 0.123
Ga2 0.626 0.626 0.626
Ga3 0.123 0.626 0.626
Ga4 0.626 0.123 0.626
Ce1 0.250 0.250 0.250

Record 6
# PBE Zn2BiPt2, relaxed
# - DFT formation energy (eV per atom) = -0.32
# - M_tot (μB/f.u.) = 0.0
# - symmetry = P4/mbm
# - uncorrected energy (eV per formula unit) = -20.1
data_Zn2BiPt2
_cell_length_a 7.738
_cell_length_b 7.738
_cell_length_c 2.962
_cell_angle_alpha 90.00
_cell_angle_beta 90.00
_cell_angle_gamma 90.00
_space_group_name_H-M_alt 'P 1'
_space_group_IT_number 1
loop_
_space_group_symop_operation_xyz
'x,y,z'
loop_
_atom_site_label
_atom_site_fract_x
_atom_site_fract_y
_atom_site_fract_z
Zn1 0.356 0.144 0.500
Zn2 0.144 0.644 0.500
Zn3 0.856 0.356 0.500
Zn4 0.644 0.856 0.500
Pt1 0.852 0.648 0.000
Pt2 0.648 0.148 0.000
Pt3 0.148 0.352 0.000
Pt4 0.352 0.852 0.000
Bi1 0.500 0.500 0.000
Bi2 0.000 0.000 0.000